Model P:
Density functional theory data (PBE-GGA) for a geometry-optimized LuBeZnCu structure.

Calculated values
volume	15.03	Å³ per atom

Cell lengths 4.3973, 4.3973, 4.3973 Å; angles 60.00, 60.00, 60.00 degrees
Closest atoms and distances in Å follow each position.
Fractional positions:
Lu  0.2500  0.2500  0.2500  4 Be 2.69, 4 Zn 2.69
Be  0.5000  0.5000  0.5000  4 Lu 2.69, 4 Cu 2.69
Zn  0.0000  0.0000  0.0000  4 Lu 2.69, 4 Cu 2.69
Cu  0.7500  0.7500  0.7500  4 Be 2.69, 4 Zn 2.69

Model Q:
Density functional theory data (PBE-GGA) for a geometry-optimized LuBeZnCu structure.

Calculated values
volume	15.06	Å³ per atom

Cell lengths 4.3999, 4.3999, 4.3999 Å; angles 60.00, 60.00, 60.00 degrees
Closest atoms and distances in Å follow each position.
Fractional positions:
Cu  0.7500  0.7500  0.7500  4 Zn 2.69, 4 Lu 2.69
Zn  0.0000  0.0000  0.0000  4 Cu 2.69, 4 Be 2.69
Be  0.2500  0.2500  0.2500  4 Zn 2.69, 4 Lu 2.69
Lu  0.5000  0.5000  0.5000  4 Cu 2.69, 4 Be 2.69

The structure with the greatest stability is model Q.

Model P:
Density functional theory data (PBE-GGA) for a geometry-optimized MgBeCuSi structure.

Calculated values
volume	13.52	Å³ per atom

Cell lengths 4.2447, 4.2447, 4.2447 Å; angles 60.00, 60.00, 60.00 degrees
Closest atoms and distances in Å follow each position.
Fractional positions:
Mg  0.2500  0.2500  0.2500  4 Si 2.60, 4 Be 2.60
Cu  0.7500  0.7500  0.7500  4 Be 2.60, 4 Si 2.60
Si  0.0000  0.0000  0.0000  4 Mg 2.60, 4 Cu 2.60
Be  0.5000  0.5000  0.5000  4 Cu 2.60, 4 Mg 2.60

Model Q:
Density functional theory data (PBE-GGA) for a geometry-optimized MgBeCuSi structure.

Calculated values
volume	13.27	Å³ per atom

Cell lengths 4.2188, 4.2188, 4.2188 Å; angles 60.00, 60.00, 60.00 degrees
Closest atoms and distances in Å follow each position.
Fractional positions:
Mg  0.5000  0.5000  0.5000  4 Be 2.58, 4 Cu 2.58
Cu  0.7500  0.7500  0.7500  4 Si 2.58, 4 Mg 2.58
Be  0.2500  0.2500  0.2500  4 Mg 2.58, 4 Si 2.58
Si  0.0000  0.0000  0.0000  4 Cu 2.58, 4 Be 2.58

The structure with the greatest stability is model Q.

Model P:
Density functional theory data (PBE-GGA) for a geometry-optimized BeNbCuPt structure.

Calculated values
volume	13.91	Å³ per atom

Cell lengths 4.2847, 4.2847, 4.2847 Å; angles 60.00, 60.00, 60.00 degrees
Closest atoms and distances in Å follow each position.
Fractional positions:
Cu  0.5000  0.5000  0.5000  4 Pt 2.62, 4 Be 2.62
Pt  0.2500  0.2500  0.2500  4 Cu 2.62, 4 Nb 2.62
Be  0.7500  0.7500  0.7500  4 Cu 2.62, 4 Nb 2.62
Nb  0.0000  0.0000  0.0000  4 Be 2.62, 4 Pt 2.62

Model Q:
Density functional theory data (PBE-GGA) for a geometry-optimized BeNbCuPt structure.

Calculated values
volume	13.32	Å³ per atom

Cell lengths 4.2234, 4.2234, 4.2234 Å; angles 60.00, 60.00, 60.00 degrees
Closest atoms and distances in Å follow each position.
Fractional positions:
Cu  0.7500  0.7500  0.7500  4 Nb 2.59, 4 Pt 2.59
Nb  0.0000  0.0000  0.0000  4 Cu 2.59, 4 Be 2.59
Be  0.2500  0.2500  0.2500  4 Pt 2.59, 4 Nb 2.59
Pt  0.5000  0.5000  0.5000  4 Cu 2.59, 4 Be 2.59

The structure with the greatest stability is model Q.

Model P:
Density functional theory data (PBE-GGA) for a geometry-optimized BeNbCuSn structure.

Calculated values
volume	15.29	Å³ per atom

Cell lengths 4.4223, 4.4223, 4.4223 Å; angles 60.00, 60.00, 60.00 degrees
Closest atoms and distances in Å follow each position.
Fractional positions:
Nb  0.5000  0.5000  0.5000  4 Cu 2.71, 4 Be 2.71
Sn  0.0000  0.0000  0.0000  4 Cu 2.71, 4 Be 2.71
Cu  0.7500  0.7500  0.7500  4 Nb 2.71, 4 Sn 2.71
Be  0.2500  0.2500  0.2500  4 Nb 2.71, 4 Sn 2.71

Model Q:
Density functional theory data (PBE-GGA) for a geometry-optimized BeNbCuSn structure.

Calculated values
volume	15.83	Å³ per atom

Cell lengths 4.4743, 4.4743, 4.4743 Å; angles 60.00, 60.00, 60.00 degrees
Closest atoms and distances in Å follow each position.
Fractional positions:
Sn  0.0000  0.0000  0.0000  4 Nb 2.74, 4 Cu 2.74
Be  0.5000  0.5000  0.5000  4 Nb 2.74, 4 Cu 2.74
Nb  0.2500  0.2500  0.2500  4 Be 2.74, 4 Sn 2.74
Cu  0.7500  0.7500  0.7500  4 Be 2.74, 4 Sn 2.74

The structure with the greatest stability is model P.

Model P:
Density functional theory data (PBE-GGA) for a geometry-optimized BeCuNiPb structure.

Calculated values
volume	14.06	Å³ per atom

Cell lengths 4.3004, 4.3004, 4.3004 Å; angles 60.00, 60.00, 60.00 degrees
Closest atoms and distances in Å follow each position.
Fractional positions:
Be  0.0000  0.0000  0.0000  4 Pb 2.63, 4 Cu 2.63
Ni  0.5000  0.5000  0.5000  4 Cu 2.63, 4 Pb 2.63
Pb  0.2500  0.2500  0.2500  4 Be 2.63, 4 Ni 2.63
Cu  0.7500  0.7500  0.7500  4 Ni 2.63, 4 Be 2.63

Model Q:
Density functional theory data (PBE-GGA) for a geometry-optimized BeCuNiPb structure.

Calculated values
volume	14.16	Å³ per atom

Cell lengths 4.3104, 4.3104, 4.3104 Å; angles 60.00, 60.00, 60.00 degrees
Closest atoms and distances in Å follow each position.
Fractional positions:
Ni  0.5000  0.5000  0.5000  4 Pb 2.64, 4 Be 2.64
Cu  0.0000  0.0000  0.0000  4 Be 2.64, 4 Pb 2.64
Be  0.7500  0.7500  0.7500  4 Cu 2.64, 4 Ni 2.64
Pb  0.2500  0.2500  0.2500  4 Ni 2.64, 4 Cu 2.64

The structure with the greatest stability is model Q.

Model P:
Density functional theory data (PBE-GGA) for a geometry-optimized BeCuNiSb structure.

Calculated values
volume	13.58	Å³ per atom

Cell lengths 4.2508, 4.2508, 4.2508 Å; angles 60.00, 60.00, 60.00 degrees
Closest atoms and distances in Å follow each position.
Fractional positions:
Ni  0.5000  0.5000  0.5000  4 Sb 2.60, 4 Be 2.60
Sb  0.2500  0.2500  0.2500  4 Ni 2.60, 4 Cu 2.60
Be  0.7500  0.7500  0.7500  4 Cu 2.60, 4 Ni 2.60
Cu  0.0000  0.0000  0.0000  4 Be 2.60, 4 Sb 2.60

Model Q:
Density functional theory data (PBE-GGA) for a geometry-optimized BeCuNiSb structure.

Calculated values
volume	13.56	Å³ per atom

Cell lengths 4.2485, 4.2485, 4.2485 Å; angles 60.00, 60.00, 60.00 degrees
Closest atoms and distances in Å follow each position.
Fractional positions:
Ni  0.5000  0.5000  0.5000  4 Cu 2.60, 4 Sb 2.60
Cu  0.7500  0.7500  0.7500  4 Ni 2.60, 4 Be 2.60
Sb  0.2500  0.2500  0.2500  4 Be 2.60, 4 Ni 2.60
Be  0.0000  0.0000  0.0000  4 Sb 2.60, 4 Cu 2.60

The structure with the greatest stability is model P.

Model P:
Density functional theory data (PBE-GGA) for a geometry-optimized BeCuSiNi structure.

Calculated values
volume	10.40	Å³ per atom

Cell lengths 3.8898, 3.8898, 3.8898 Å; angles 60.00, 60.00, 60.00 degrees
Closest atoms and distances in Å follow each position.
Fractional positions:
Si  0.2500  0.2500  0.2500  4 Ni 2.38, 4 Cu 2.38
Ni  0.5000  0.5000  0.5000  4 Be 2.38, 4 Si 2.38
Be  0.7500  0.7500  0.7500  4 Ni 2.38, 4 Cu 2.38
Cu  0.0000  0.0000  0.0000  4 Be 2.38, 4 Si 2.38

Model Q:
Density functional theory data (PBE-GGA) for a geometry-optimized BeCuSiNi structure.

Calculated values
volume	10.65	Å³ per atom

Cell lengths 3.9196, 3.9196, 3.9196 Å; angles 60.00, 60.00, 60.00 degrees
Closest atoms and distances in Å follow each position.
Fractional positions:
Cu  0.5000  0.5000  0.5000  4 Be 2.40, 4 Ni 2.40
Be  0.7500  0.7500  0.7500  4 Cu 2.40, 4 Si 2.40
Si  0.0000  0.0000  0.0000  4 Be 2.40, 4 Ni 2.40
Ni  0.2500  0.2500  0.2500  4 Cu 2.40, 4 Si 2.40

The structure with the greatest stability is model P.

Model P:
Density functional theory data (PBE-GGA) for a geometry-optimized BeTlCuNi structure.

Calculated values
volume	13.70	Å³ per atom

Cell lengths 4.2631, 4.2631, 4.2631 Å; angles 60.00, 60.00, 60.00 degrees
Closest atoms and distances in Å follow each position.
Fractional positions:
Tl  0.0000  0.0000  0.0000  4 Ni 2.61, 4 Cu 2.61
Cu  0.7500  0.7500  0.7500  4 Tl 2.61, 4 Be 2.61
Ni  0.2500  0.2500  0.2500  4 Be 2.61, 4 Tl 2.61
Be  0.5000  0.5000  0.5000  4 Ni 2.61, 4 Cu 2.61

Model Q:
Density functional theory data (PBE-GGA) for a geometry-optimized BeTlCuNi structure.

Calculated values
volume	13.56	Å³ per atom

Cell lengths 4.2484, 4.2484, 4.2484 Å; angles 60.00, 60.00, 60.00 degrees
Closest atoms and distances in Å follow each position.
Fractional positions:
Tl  0.0000  0.0000  0.0000  4 Be 2.60, 4 Ni 2.60
Ni  0.7500  0.7500  0.7500  4 Tl 2.60, 4 Cu 2.60
Cu  0.5000  0.5000  0.5000  4 Be 2.60, 4 Ni 2.60
Be  0.2500  0.2500  0.2500  4 Tl 2.60, 4 Cu 2.60

The structure with the greatest stability is model P.

Model P:
Density functional theory data (PBE-GGA) for a geometry-optimized BeCuSbOs structure.

Calculated values
volume	14.22	Å³ per atom

Cell lengths 4.3171, 4.3171, 4.3171 Å; angles 60.00, 60.00, 60.00 degrees
Closest atoms and distances in Å follow each position.
Fractional positions:
Be  0.2500  0.2500  0.2500  4 Sb 2.64, 4 Os 2.64
Cu  0.7500  0.7500  0.7500  4 Sb 2.64, 4 Os 2.64
Sb  0.0000  0.0000  0.0000  4 Cu 2.64, 4 Be 2.64
Os  0.5000  0.5000  0.5000  4 Cu 2.64, 4 Be 2.64

Model Q:
Density functional theory data (PBE-GGA) for a geometry-optimized BeCuSbOs structure.

Calculated values
volume	14.53	Å³ per atom

Cell lengths 4.3482, 4.3482, 4.3482 Å; angles 60.00, 60.00, 60.00 degrees
Closest atoms and distances in Å follow each position.
Fractional positions:
Cu  0.7500  0.7500  0.7500  4 Sb 2.66, 4 Be 2.66
Be  0.5000  0.5000  0.5000  4 Os 2.66, 4 Cu 2.66
Sb  0.0000  0.0000  0.0000  4 Os 2.66, 4 Cu 2.66
Os  0.2500  0.2500  0.2500  4 Sb 2.66, 4 Be 2.66

The structure with the greatest stability is model Q.

Model P:
Density functional theory data (PBE-GGA) for a geometry-optimized PaBeCu structure.

Calculated values
volume	18.92	Å³ per atom

Cell lengths 4.3135, 4.3135, 4.3135 Å; angles 60.00, 60.00, 60.00 degrees
Closest atoms and distances in Å follow each position.
Fractional positions:
Be  0.2500  0.2500  0.2500  4 Cu 2.64
Cu  0.0000  0.0000  0.0000  4 Pa 2.64, 4 Be 2.64
Pa  0.7500  0.7500  0.7500  4 Cu 2.64

Model Q:
Density functional theory data (PBE-GGA) for a geometry-optimized PaBeCu structure.

Calculated values
volume	17.96	Å³ per atom

Cell lengths 4.2393, 4.2393, 4.2393 Å; angles 60.00, 60.00, 60.00 degrees
Closest atoms and distances in Å follow each position.
Fractional positions:
Cu  0.2500  0.2500  0.2500  4 Be 2.60
Be  0.0000  0.0000  0.0000  4 Cu 2.60, 4 Pa 2.60
Pa  0.7500  0.7500  0.7500  4 Be 2.60

Model R:
Density functional theory data (PBE-GGA) for a geometry-optimized PaBeCu structure.

Calculated values
volume	20.89	Å³ per atom

Cell lengths 4.4586, 4.4586, 4.4586 Å; angles 60.00, 60.00, 60.00 degrees
Closest atoms and distances in Å follow each position.
Fractional positions:
Pa  0.2500  0.2500  0.2500  4 Be 2.73, 4 Cu 2.73
Cu  0.0000  0.0000  0.0000  4 Pa 2.73
Be  0.5000  0.5000  0.5000  4 Pa 2.73

The structure with the greatest stability is model Q.

Model P:
Density functional theory data (PBE-GGA) for a geometry-optimized BeCuPdPb structure.

Calculated values
volume	15.52	Å³ per atom

Cell lengths 4.4447, 4.4447, 4.4447 Å; angles 60.00, 60.00, 60.00 degrees
Closest atoms and distances in Å follow each position.
Fractional positions:
Pb  0.0000  0.0000  0.0000  4 Be 2.72, 4 Cu 2.72
Pd  0.5000  0.5000  0.5000  4 Cu 2.72, 4 Be 2.72
Be  0.7500  0.7500  0.7500  4 Pb 2.72, 4 Pd 2.72
Cu  0.2500  0.2500  0.2500  4 Pb 2.72, 4 Pd 2.72

Model Q:
Density functional theory data (PBE-GGA) for a geometry-optimized BeCuPdPb structure.

Calculated values
volume	15.83	Å³ per atom

Cell lengths 4.4739, 4.4739, 4.4739 Å; angles 60.00, 60.00, 60.00 degrees
Closest atoms and distances in Å follow each position.
Fractional positions:
Cu  0.7500  0.7500  0.7500  4 Pb 2.74, 4 Be 2.74
Be  0.5000  0.5000  0.5000  4 Cu 2.74, 4 Pd 2.74
Pb  0.0000  0.0000  0.0000  4 Cu 2.74, 4 Pd 2.74
Pd  0.2500  0.2500  0.2500  4 Pb 2.74, 4 Be 2.74

The structure with the greatest stability is model P.

Model P:
Density functional theory data (PBE-GGA) for a geometry-optimized BeCuRePb structure.

Calculated values
volume	15.43	Å³ per atom

Cell lengths 4.4358, 4.4358, 4.4358 Å; angles 60.00, 60.00, 60.00 degrees
Closest atoms and distances in Å follow each position.
Fractional positions:
Re  0.2500  0.2500  0.2500  4 Pb 2.72, 4 Be 2.72
Pb  0.0000  0.0000  0.0000  4 Cu 2.72, 4 Re 2.72
Be  0.5000  0.5000  0.5000  4 Cu 2.72, 4 Re 2.72
Cu  0.7500  0.7500  0.7500  4 Be 2.72, 4 Pb 2.72

Model Q:
Density functional theory data (PBE-GGA) for a geometry-optimized BeCuRePb structure.

Calculated values
volume	14.91	Å³ per atom

Cell lengths 4.3852, 4.3852, 4.3852 Å; angles 60.00, 60.00, 60.00 degrees
Closest atoms and distances in Å follow each position.
Fractional positions:
Cu  0.7500  0.7500  0.7500  4 Re 2.69, 4 Pb 2.69
Be  0.2500  0.2500  0.2500  4 Re 2.69, 4 Pb 2.69
Re  0.5000  0.5000  0.5000  4 Cu 2.69, 4 Be 2.69
Pb  0.0000  0.0000  0.0000  4 Cu 2.69, 4 Be 2.69

The structure with the greatest stability is model P.